(1)
A geometry-optimized PAuS2 structure, computed with GGA-PBE.

POSCAR file:
```
PAuS2
1.0
6.484 -1.670 0.000
6.484 1.670 0.000
-1.197 0.000 4.531
P Au S
1 1 2
Direct
0.000 0.000 0.000
0.272 0.272 0.788
0.161 0.161 0.105
0.438 0.438 0.663
```

VASP energy   -16.8 eV per cell


(2)
A geometry-optimized PAuS3 structure, computed with GGA-PBE.

POSCAR file:
```
PAuS3
1.0
4.516 0.000 0.000
0.000 4.516 0.000
0.000 0.000 4.516
P Au S
1 1 3
Direct
0.000 0.000 0.000
0.500 0.500 0.500
0.000 0.000 0.500
0.000 0.500 0.000
0.500 0.000 0.000
```

Fermi-level density of states   4.18 states/eV per cell
VASP energy   -17.5 eV per cell


(3)
A geometry-optimized ScPAuS2 structure, computed with GGA-PBE.

POSCAR file:
```
ScPAuS2
1.0
4.845 0.000 0.000
0.000 4.845 0.000
0.000 0.000 4.701
Sc P Au S
1 1 1 2
Direct
0.000 0.000 0.000
0.500 0.500 0.000
0.500 0.500 0.500
0.000 0.500 0.500
0.500 0.000 0.500
```

Polymorph energy (0 for the lowest one)   40 meV/atom
Fermi-level density of states   3.49 states/eV per cell


Please write out number 2 again, unchanged.
A geometry-optimized PAuS3 structure, computed with GGA-PBE.

POSCAR file:
```
PAuS3
1.0
4.516 0.000 0.000
0.000 4.516 0.000
0.000 0.000 4.516
P Au S
1 1 3
Direct
0.000 0.000 0.000
0.500 0.500 0.500
0.000 0.000 0.500
0.000 0.500 0.000
0.500 0.000 0.000
```

Fermi-level density of states   4.18 states/eV per cell
VASP energy   -17.5 eV per cell


Q: Number 2 is which compound?
A: PAuS3


What did the third record say?
A geometry-optimized ScPAuS2 structure, computed with GGA-PBE.

POSCAR file:
```
ScPAuS2
1.0
4.845 0.000 0.000
0.000 4.845 0.000
0.000 0.000 4.701
Sc P Au S
1 1 1 2
Direct
0.000 0.000 0.000
0.500 0.500 0.000
0.500 0.500 0.500
0.000 0.500 0.500
0.500 0.000 0.500
```

Polymorph energy (0 for the lowest one)   40 meV/atom
Fermi-level density of states   3.49 states/eV per cell